No. 1
Compound: DyBIr3
Source: OQMD
Functional: PBE
Structure: optimized geometry

The structure belongs to space group P4mm (No. 99); the cell edges are 4.2262, 4.2262 and 4.2238 Å and the angles 90.00°, 90.00° and 90.00°. The asymmetric unit holds Dy at (0.0000, 0.0000, 0.0000), B at (0.5000, 0.5000, 0.5067), Ir at (0.0000, 0.5000, 0.4994) and Ir at (0.5000, 0.5000, 0.0045).

The calculation puts the calculated density at 16.51 g/cm3.


No. 2
Compound: DyB4Ir
Source: OQMD
Functional: PBE
Structure: optimized geometry

The structure belongs to space group P6/mmm (No. 191); the cell edges are 3.2533, 3.2533 and 6.6971 Å and the angles 90.00°, 90.00° and 120.00°. The asymmetric unit holds Dy at (0.0000, 0.0000, 0.0000), B at (0.3333, 0.6667, 0.2820) and Ir at (0.0000, 0.0000, 0.5000).

The value obtained for the excess energy over the best structure of this formula in the dataset is 0 meV/atom. The calculation puts the calculated density at 10.77 g/cm3.


No. 3
Compound: DyBIr
Source: OQMD
Functional: PBE
Structure: optimized geometry

The structure belongs to space group F-43m (No. 216); the cell edges are 5.8278, 5.8278 and 5.8278 Å and the angles 90.00°, 90.00° and 90.00°. The asymmetric unit holds Dy at (0.0000, 0.0000, 0.0000), B at (0.2500, 0.2500, 0.2500) and Ir at (0.0000, 0.0000, 0.5000).

The value obtained for the excess energy over the best structure of this formula in the dataset is 0 meV/atom. The calculation puts the calculated density at 12.27 g/cm3.


No. 4
Compound: NdDyB2Ir2N2
Source: OQMD
Functional: PBE
Structure: optimized geometry

The structure belongs to space group P4mm (No. 99); the cell edges are 3.7756, 3.7756 and 7.5209 Å and the angles 90.00°, 90.00° and 90.00°. The asymmetric unit holds Nd at (0.0000, 0.0000, 0.0000), Dy at (0.5000, 0.5000, 0.6714), B at (0.0000, 0.0000, 0.4869), B at (0.5000, 0.5000, 0.1802), Ir at (0.0000, 0.5000, 0.3369), N at (0.0000, 0.0000, 0.6848) and N at (0.5000, 0.5000, 0.9799).

The calculation puts the calculated density at 11.47 g/cm3.


No. 5
Compound: Dy2NiB2IrN2
Source: OQMD
Functional: PBE
Structure: optimized geometry

The structure belongs to space group P-4m2 (No. 115); the cell edges are 3.5815, 3.5815 and 7.5589 Å and the angles 90.00°, 90.00° and 90.00°. The asymmetric unit holds Dy at (0.0000, 0.5000, 0.1629), Ni at (0.0000, 0.0000, 0.5000), B at (0.0000, 0.5000, 0.6601), Ir at (0.5000, 0.5000, 0.5000) and N at (0.0000, 0.5000, 0.8567).

The calculation puts the calculated density at 10.71 g/cm3.


No. 6
Compound: SmDyB2Ir2N2
Source: OQMD
Functional: PBE
Structure: optimized geometry

The structure belongs to space group P4mm (No. 99); the cell edges are 3.7587, 3.7587 and 7.5068 Å and the angles 90.00°, 90.00° and 90.00°. The asymmetric unit holds Sm at (0.0000, 0.0000, 0.0000), Dy at (0.5000, 0.5000, 0.6726), B at (0.0000, 0.0000, 0.4898), B at (0.5000, 0.5000, 0.1795), Ir at (0.0000, 0.5000, 0.3371), N at (0.0000, 0.0000, 0.6886) and N at (0.5000, 0.5000, 0.9793).

The calculation puts the calculated density at 11.70 g/cm3.


No. 7
Compound: TbDyB2Ir2N2
Source: OQMD
Functional: PBE
Structure: optimized geometry

The structure belongs to space group P4mm (No. 99); the cell edges are 3.7458, 3.7458 and 7.4549 Å and the angles 90.00°, 90.00° and 90.00°. The asymmetric unit holds Tb at (0.0000, 0.0000, 0.0000), Dy at (0.5000, 0.5000, 0.3252), B at (0.0000, 0.0000, 0.5066), B at (0.5000, 0.5000, 0.8192), Ir at (0.0000, 0.5000, 0.6625), N at (0.0000, 0.0000, 0.3064) and N at (0.5000, 0.5000, 0.0199).

The calculation puts the calculated density at 11.99 g/cm3.


No. 8
Compound: SmDyB2Ir2O2
Source: OQMD
Functional: PBE
Structure: optimized geometry

The structure belongs to space group P4mm (No. 99); the cell edges are 3.8292, 3.8292 and 7.3101 Å and the angles 90.00°, 90.00° and 90.00°. The asymmetric unit holds Sm at (0.0000, 0.0000, 0.0000), Dy at (0.5000, 0.5000, 0.6303), B at (0.0000, 0.0000, 0.4691), B at (0.5000, 0.5000, 0.1651), Ir at (0.0000, 0.5000, 0.3192), O at (0.0000, 0.0000, 0.6764) and O at (0.5000, 0.5000, 0.9543).

The calculation puts the calculated density at 11.63 g/cm3.


Number 1: energy -8.222 eV per atom. Number 2: energy -6.895 eV per atom. Number 3: energy -6.800 eV per atom. Number 4: energy -8.252 eV per atom. Number 5: energy -7.875 eV per atom. Number 6: energy -8.266 eV per atom. Number 7: energy -8.275 eV per atom. Number 8: energy -7.920 eV per atom.